VASP calculation (GGA-PBE) on crystalline Be2AsPt at its relaxed geometry.

Cell: 4.7956 4.7956 4.7956 Å, 136.58 136.58 63.08°
Positions (direct):
Be 0.0000 0.0000 0.0000
Be 0.7500 0.2500 0.5000
As 0.5000 0.5000 0.0000
Pt 0.2500 0.7500 0.5000

Calculated values
The value obtained for the total DFT energy (no corrections) is -4.54 eV/atom. Its formation energy is -0.0025 eV/atom.